Below is an optimized crystal structure of KZr3As, with properties calculated at the PBE-GGA level.

Cell: 5.2163 5.2163 5.2163 Å, 90.00 90.00 90.00°
Sites, in units of the cell vectors:
As 0.0000 0.0000 0.0000
K 0.5000 0.5000 0.5000
Zr 0.0000 0.5000 0.0000
Zr 0.0000 0.0000 0.5000
Zr 0.5000 0.0000 0.0000

Summary:
Energy relative to the lowest polymorph listed for this composition (meV per atom): 0.0
Total energy (eV per atom): -5.907
N(E_F) (states/eV/cell): 6.83
ΔH_f (0 K) (eV/f.u.): 1.9
Crystal system: cubic

Below is an optimized crystal structure of TlRe2Cl, with properties calculated at the PBE-GGA level.

Cell: 6.0965 6.0965 6.0965 Å, 148.16 128.91 61.47°
Sites, in units of the cell vectors:
Cl 0.1931 0.6931 0.5000
Re 0.9857 0.9857 0.0000
Re 0.8319 0.3319 0.5000
Tl 0.4893 0.4893 0.0000

Summary:
Energy relative to the lowest polymorph listed for this composition (meV per atom): 724.7
Total energy (eV per atom): -6.333
N(E_F) (states/eV/cell): 3.11
Crystal system: orthorhombic

Below is an optimized crystal structure of CaOs2Au, with properties calculated at the PBE-GGA level.

Cell: 5.5757 5.5757 4.7876 Å, 73.08 73.08 30.06°
Sites, in units of the cell vectors:
Os 0.0209 0.0209 0.0127
Os 0.4791 0.4791 0.4873
Ca 0.2500 0.2500 0.2500
Au 0.7500 0.7500 0.7500

Summary:
Energy relative to the lowest polymorph listed for this composition (meV per atom): 282.4
Total energy (eV per atom): -6.462
N(E_F) (states/eV/cell): 2.68
ΔH_f (0 K) (eV/f.u.): 1.9
Crystal system: monoclinic

Which formula does entry 3 have? CaOs2Au

The lowest total energy belongs to which entry? CaOs2Au